No. 1
PrZrTlHg: optimized geometry, PBE.

It has space group F-43m (No. 216), with a = 7.4622 Å, b = 7.4622 Å, c = 7.4622 Å, α = 90.00°, β = 90.00° and γ = 90.00°. The asymmetric unit holds Pr at (0.0000, 0.0000, 0.0000), Zr at (0.0000, 0.0000, 0.5000), Tl at (0.2500, 0.2500, 0.2500) and Hg at (0.2500, 0.2500, 0.7500).

The calculation puts the energy of formation from the pure elements at -69 kJ/mol of formula units. The magnetic moment comes out at 0.0 μB per cell. For the density of states at the Fermi level, the calculation gives 1.09 states/eV/atom.


No. 2
Tl2Ni2Sb: optimized geometry, PBE.

It has space group P4/mbm (No. 127), with a = 6.9012 Å, b = 6.9012 Å, c = 4.1836 Å, α = 90.00°, β = 90.00° and γ = 90.00°. The asymmetric unit holds Tl at (0.1635, 0.3365, 0.0000), Ni at (0.1380, 0.6380, 0.5000) and Sb at (0.0000, 0.0000, 0.5000).

The magnetic moment comes out at 0.0 μB per cell. The calculation puts the formation energy without anion corrections at 0.24 eV/atom. For the density of states at the Fermi level, the calculation gives 0.85 states/eV/atom.


No. 3
Li2SiMo: optimized geometry, PBE.

It has space group I4/mmm (No. 139), with a = 3.4996 Å, b = 3.4996 Å, c = 9.3228 Å, α = 90.00°, β = 90.00° and γ = 90.00°. The asymmetric unit holds Li at (0.0000, 0.5000, 0.2500), Si at (0.0000, 0.0000, 0.0000) and Mo at (0.0000, 0.0000, 0.5000).

The magnetic moment comes out at 0.0 μB per cell. The calculation puts the formation energy without anion corrections at 0.01 eV/atom. For the density of states at the Fermi level, the calculation gives 0.56 states/eV/atom.


No. 4
TiMnCuIr: optimized geometry, PBE.

It has space group F-43m (No. 216), with a = 6.1195 Å, b = 6.1195 Å, c = 6.1195 Å, α = 90.00°, β = 90.00° and γ = 90.00°. The asymmetric unit holds Ti at (0.0000, 0.0000, 0.0000), Mn at (0.0000, 0.0000, 0.5000), Cu at (0.2500, 0.2500, 0.2500) and Ir at (0.2500, 0.2500, 0.7500).

The calculation puts the energy of formation from the pure elements at -107 kJ/mol of formula units. The magnetic moment comes out at 15.6 μB per cell. For the density of states at the Fermi level, the calculation gives 0.80 states/eV/atom.


No. 5
BaLaSi2O6: optimized geometry, PBE.

It has space group C2/c (No. 15), with a = 7.7152 Å, b = 11.8446 Å, c = 8.2491 Å, α = 90.00°, β = 113.39° and γ = 90.00°. The asymmetric unit holds Ba at (0.0000, 0.2141, 0.2500), La at (0.0000, 0.3496, 0.7500), Si at (0.1822, 0.0846, 0.7607), O at (0.1305, 0.1870, 0.6163), O at (0.1557, 0.3666, 0.0599) and O at (0.2208, 0.0442, 0.2198).

The magnetic moment comes out at 4.0 μB per cell. The calculation puts the formation energy without anion corrections at -2.73 eV/atom.


No. 6
La14CeNd: optimized geometry, PBE.

It has space group Amm2 (No. 38), with a = 10.4793 Å, b = 10.4732 Å, c = 10.4720 Å, α = 90.00°, β = 90.00° and γ = 90.00°. The asymmetric unit holds La at (0.0000, 0.0000, 0.0000), La at (0.0000, 0.0000, 0.4992), La at (0.0000, 0.2484, 0.7494), La at (0.2530, 0.0000, 0.2450), La at (0.2544, 0.2452, 0.9996), La at (0.2557, 0.0000, 0.7546), La at (0.5000, 0.2482, 0.2495), Ce at (0.5000, 0.0000, 0.9992) and Nd at (0.5000, 0.0000, 0.4999).

The calculation puts the energy of formation from the pure elements at 29 kJ/mol of formula units. The magnetic moment comes out at 2.6 μB per cell. For the density of states at the Fermi level, the calculation gives 1.99 states/eV/atom.


no.,calculated volume (Å³ per cell)
1,415.5
2,199.3
3,114.2
4,229.2
5,691.9
6,1149.3